## RbGe3Os (GGA-PBE)

Data for crystalline RbGe3Os at its relaxed geometry.

Structure (CIF):
```
data_RbGe3Os
_chemical_formula_sum 'Rb1 Ge3 Os1'
_space_group_name_H-M_alt 'P m -3 m'
_space_group_IT_number 221
_space_group_name_Hall '-P 4 2 3'
_cell_length_a 4.9462
_cell_length_b 4.9462
_cell_length_c 4.9462
_cell_angle_alpha 90.00
_cell_angle_beta 90.00
_cell_angle_gamma 90.00
loop_
_atom_site_label
_atom_site_type_symbol
_atom_site_fract_x
_atom_site_fract_y
_atom_site_fract_z
_atom_site_occupancy
Rb1 Rb 0.0000 0.0000 0.0000 1
Ge1 Ge 0.0000 0.5000 0.5000 1
Os1 Os 0.5000 0.5000 0.5000 1
```

Calculated values
Distance to the lowest polymorph of the same formula in kcal/mol of atoms: 0.000
Formation energy in eV per atom: 0.356
Total DFT energy (no corrections) in eV for the cell shown: -24.27



## AcLa5Pr3 (GGA-PBE)

Data for crystalline AcLa5Pr3 at its relaxed geometry.

Structure (CIF):
```
data_AcLa5Pr3
_chemical_formula_sum 'Ac4 La20 Pr12'
_space_group_name_H-M_alt 'I 4/m c m'
_space_group_IT_number 140
_space_group_name_Hall '-I 4 2c'
_cell_length_a 9.2610
_cell_length_b 9.2610
_cell_length_c 15.9895
_cell_angle_alpha 90.00
_cell_angle_beta 90.00
_cell_angle_gamma 90.00
loop_
_atom_site_label
_atom_site_type_symbol
_atom_site_fract_x
_atom_site_fract_y
_atom_site_fract_z
_atom_site_occupancy
Ac1 Ac 0.0000 0.5000 0.2500 1
La1 La 0.0000 0.0000 0.0000 1
La2 La 0.2084 0.2916 0.1328 1
Pr1 Pr 0.0000 0.0000 0.2500 1
Pr2 Pr 0.1154 0.3846 0.5000 1
```

Calculated values
Distance to the lowest polymorph of the same formula in kcal/mol of atoms: 2.161
Formation energy in eV per atom: 0.232
Total DFT energy (no corrections) in eV for the cell shown: -163.98



## Nb2HPdRu (GGA-PBE)

Data for crystalline Nb2HPdRu at its relaxed geometry.

Structure (CIF):
```
data_Nb2HPdRu
_chemical_formula_sum 'Nb2 H1 Pd1 Ru1'
_space_group_name_H-M_alt 'P 4/m m m'
_space_group_IT_number 123
_space_group_name_Hall '-P 4 2'
_cell_length_a 4.1132
_cell_length_b 4.1132
_cell_length_c 3.9564
_cell_angle_alpha 90.00
_cell_angle_beta 90.00
_cell_angle_gamma 90.00
loop_
_atom_site_label
_atom_site_type_symbol
_atom_site_fract_x
_atom_site_fract_y
_atom_site_fract_z
_atom_site_occupancy
Nb1 Nb 0.0000 0.5000 0.0000 1
H1 H 0.0000 0.0000 0.0000 1
Pd1 Pd 0.5000 0.5000 0.5000 1
Ru1 Ru 0.0000 0.0000 0.5000 1
```

Calculated values
Distance to the lowest polymorph of the same formula in kcal/mol of atoms: 0.000
Total DFT energy (no corrections) in eV for the cell shown: -39.08



## Tb3InAg3Te8 (GGA-PBE)

Data for crystalline Tb3InAg3Te8 at its relaxed geometry.

Structure (CIF):
```
data_Tb3InAg3Te8
_chemical_formula_sum 'Tb9 In3 Ag9 Te24'
_space_group_name_H-M_alt 'R -3 m'
_space_group_IT_number 166
_space_group_name_Hall '-R 3 2"'
_cell_length_a 8.7398
_cell_length_b 8.7398
_cell_length_c 21.0213
_cell_angle_alpha 90.00
_cell_angle_beta 90.00
_cell_angle_gamma 120.00
loop_
_atom_site_label
_atom_site_type_symbol
_atom_site_fract_x
_atom_site_fract_y
_atom_site_fract_z
_atom_site_occupancy
Tb1 Tb 0.0000 0.5000 0.0000 1
In1 In 0.0000 0.0000 0.0000 1
Ag1 Ag 0.0000 0.5000 0.5000 1
Te1 Te 0.0000 0.0000 0.2488 1
Te2 Te 0.0086 0.5043 0.7511 1
```

Calculated values
Uncorrected formation energy in eV/atom: -0.680
Total DFT energy (no corrections) in eV for the cell shown: -181.56



## UTiNb2O10 (GGA-PBE)

Data for crystalline UTiNb2O10 at its relaxed geometry.

Structure (CIF):
```
data_UTiNb2O10
_chemical_formula_sum 'U8 Ti8 Nb16 O80'
_space_group_name_H-M_alt 'F d d d'
_space_group_IT_number 70
_cell_length_a 7.2824
_cell_length_b 12.6126
_cell_length_c 17.3980
_cell_angle_alpha 90.00
_cell_angle_beta 90.00
_cell_angle_gamma 90.00
loop_
_space_group_symop_operation_xyz
'x,y,z'
'-x,-y,-z'
'-x+1/4,-y+1/4,z'
'x+1/4,y+1/4,-z'
'x,-y+1/4,-z+1/4'
'-x,y+1/4,z+1/4'
'-x+1/4,y,-z+1/4'
'x+1/4,-y,z+1/4'
'x,y+1/2,z+1/2'
'-x,-y+1/2,-z+1/2'
'-x+1/4,-y+3/4,z+1/2'
'x+1/4,y+3/4,-z+1/2'
'x,-y+3/4,-z+3/4'
'-x,y+3/4,z+3/4'
'-x+1/4,y+1/2,-z+3/4'
'x+1/4,-y+1/2,z+3/4'
'x+1/2,y,z+1/2'
'-x+1/2,-y,-z+1/2'
'-x+3/4,-y+1/4,z+1/2'
'x+3/4,y+1/4,-z+1/2'
'x+1/2,-y+1/4,-z+3/4'
'-x+1/2,y+1/4,z+3/4'
'-x+3/4,y,-z+3/4'
'x+3/4,-y,z+3/4'
'x+1/2,y+1/2,z'
'-x+1/2,-y+1/2,-z'
'-x+3/4,-y+3/4,z'
'x+3/4,y+3/4,-z'
'x+1/2,-y+3/4,-z+1/4'
'-x+1/2,y+3/4,z+1/4'
'-x+3/4,y+1/2,-z+1/4'
'x+3/4,-y+1/2,z+1/4'
loop_
_atom_site_label
_atom_site_type_symbol
_atom_site_fract_x
_atom_site_fract_y
_atom_site_fract_z
_atom_site_occupancy
U1 U 0.1250 0.1250 0.1250 1
Ti1 Ti 0.1250 0.1250 0.6250 1
Nb1 Nb 0.1250 0.1250 0.4057 1
O1 O 0.0747 0.2739 0.8723 1
O2 O 0.1250 0.1250 0.0213 1
O3 O 0.1250 0.1250 0.5100 1
O4 O 0.1250 0.3295 0.1250 1
```

Calculated values
Uncorrected formation energy in eV/atom: -2.789
Total DFT energy (no corrections) in eV for the cell shown: -1023.60



## Be2PtF (GGA-PBE)

Data for crystalline Be2PtF at its relaxed geometry.

Structure (CIF):
```
data_Be2PtF
_chemical_formula_sum 'Be8 Pt4 F4'
_space_group_name_H-M_alt 'I 4/m c m'
_space_group_IT_number 140
_space_group_name_Hall '-I 4 2c'
_cell_length_a 5.7480
_cell_length_b 5.7480
_cell_length_c 5.3924
_cell_angle_alpha 90.00
_cell_angle_beta 90.00
_cell_angle_gamma 90.00
loop_
_atom_site_label
_atom_site_type_symbol
_atom_site_fract_x
_atom_site_fract_y
_atom_site_fract_z
_atom_site_occupancy
Be1 Be 0.1892 0.3108 0.0000 1
Pt1 Pt 0.0000 0.0000 0.2500 1
F1 F 0.0000 0.5000 0.0000 1
```

Calculated values
Distance to the lowest polymorph of the same formula in kcal/mol of atoms: 6.698
Uncorrected formation energy in eV/atom: -1.166
Total DFT energy (no corrections) in eV for the cell shown: -80.12



## YErCuPt (GGA-PBE)

Data for crystalline YErCuPt at its relaxed geometry.

Structure (CIF):
```
data_YErCuPt
_chemical_formula_sum 'Y4 Er4 Cu4 Pt4'
_space_group_name_H-M_alt 'F -4 3 m'
_space_group_IT_number 216
_space_group_name_Hall 'F -4 2 3'
_cell_length_a 6.9419
_cell_length_b 6.9419
_cell_length_c 6.9419
_cell_angle_alpha 90.00
_cell_angle_beta 90.00
_cell_angle_gamma 90.00
loop_
_atom_site_label
_atom_site_type_symbol
_atom_site_fract_x
_atom_site_fract_y
_atom_site_fract_z
_atom_site_occupancy
Y1 Y 0.0000 0.0000 0.0000 1
Er1 Er 0.0000 0.0000 0.5000 1
Cu1 Cu 0.2500 0.2500 0.7500 1
Pt1 Pt 0.2500 0.2500 0.2500 1
```

Calculated values
Distance to the lowest polymorph of the same formula in kcal/mol of atoms: 0.834
Formation energy in eV per atom: -0.781
Total DFT energy (no corrections) in eV for the cell shown: -97.15



## BaCoWC2 (GGA-PBE)

Data for crystalline BaCoWC2 at its relaxed geometry.

Structure (CIF):
```
data_BaCoWC2
_chemical_formula_sum 'Ba1 Co1 W1 C2'
_space_group_name_H-M_alt 'P 4/m m m'
_space_group_IT_number 123
_space_group_name_Hall '-P 4 2'
_cell_length_a 3.9714
_cell_length_b 3.9714
_cell_length_c 5.3472
_cell_angle_alpha 90.00
_cell_angle_beta 90.00
_cell_angle_gamma 90.00
loop_
_atom_site_label
_atom_site_type_symbol
_atom_site_fract_x
_atom_site_fract_y
_atom_site_fract_z
_atom_site_occupancy
Ba1 Ba 0.0000 0.0000 0.0000 1
Co1 Co 0.0000 0.0000 0.5000 1
W1 W 0.5000 0.5000 0.0000 1
C1 C 0.0000 0.5000 0.5000 1
```

Calculated values
Distance to the lowest polymorph of the same formula in kcal/mol of atoms: 0.000
Formation energy in eV per atom: 2.642
Total DFT energy (no corrections) in eV for the cell shown: -27.22



Question: Which formula does entry 3 have?
Answer: Nb2HPdRu